The following is a DFT calculation (GGA-PBE) of a relaxed structure of BaMgSc4Se8.

Calculated values
**Size of the total moment**: 0.000 μB/f.u.
**Raw formation energy**: -1532 meV/atom

a = 8.2189 Å, b = 8.2189 Å, c = 8.3055 Å
α = 60.34°, β = 60.34°, γ = 60.00°
Positions (direct):
Sc 0.4912 0.0027 0.5035
Sc 0.0027 0.4912 0.5035
Sc 0.0027 0.0027 0.5035
Sc 0.6234 0.6234 0.1298
Se 0.2312 0.2312 0.7237
Se 0.7551 0.7551 0.2591
Se 0.2306 0.2306 0.3083
Se 0.7551 0.2307 0.2591
Se 0.2312 0.8139 0.7237
Se 0.8139 0.2312 0.7237
Se 0.7555 0.7555 0.7336
Se 0.2307 0.7551 0.2591
Mg 0.0012 0.0012 0.9963
Ba 0.3756 0.3756 0.8731



The following is a DFT calculation (GGA-PBE) of a relaxed structure of BaMgSc2Se.

Calculated values
**Size of the total moment**: 0.000 μB/f.u.
**Raw formation energy**: 931 meV/atom
**DOS at the Fermi energy**: 6.812 states/eV/cell

a = 5.6119 Å, b = 5.8457 Å, c = 5.6119 Å
α = 90.00°, β = 90.00°, γ = 90.00°
Positions (direct):
Se 0.0000 0.5000 0.0000
Mg 0.5000 0.5000 0.5000
Sc 0.5000 0.0000 0.0000
Sc 0.0000 0.0000 0.5000
Ba 0.0000 0.0000 0.0000